4
Lattice="-0.6800 4.8814 0.3907 -4.4077 1.9742 -1.0569 -2.8269 1.8197 3.6249" Properties=species:S:1:pos:R:3 comment="GdErBeZn GGA-PBE optimized geometry" final_energy_ev_per_cell=-24.1 delta_e_f_ev_per_fu=-0.4 m_tot_mub_per_cell=7.7 crystal_system=cubic space_group="F-43m, No. 216" density_g_cm3=7.8 pbc="T T T"
Be -3.9573 4.3377 1.4793
Zn 0.0000 0.0000 0.0000
Gd -1.9787 2.1688 0.7397
Er -5.9360 6.5065 2.2190